[1]
A relaxed Er2CuOs crystal, computed with PBE.

- Space group: P4/mmm (123)
- E_form: -0.2899 eV/atom

POSCAR file:
```
Er2CuOs
1.0
3.382 0.000 0.000
0.000 3.382 0.000
0.000 0.000 6.976
Os Cu Er
1 1 2
Cartesian
1.691 1.691 0.000
1.691 1.691 3.488
0.000 0.000 5.314
0.000 0.000 1.662
```

[2]
A relaxed Er4Cu2Os crystal, computed with PBE.

- Space group: R-3m (166)
- E_form: -0.2039 eV/atom

POSCAR file:
```
Er4Cu2Os
1.0
4.608 0.000 1.440
2.079 4.113 1.440
-0.068 -0.042 8.312
Os Cu Er
1 2 4
Cartesian
0.000 0.000 0.000
4.956 3.047 8.424
1.664 1.024 2.768
5.843 3.593 5.582
0.777 0.478 5.609
4.177 2.569 2.820
2.443 1.502 8.371
```

[3]
A relaxed Er4CuOs crystal, computed with PBE.

- Space group: P4/mmm (123)
- Offset from the most stable computed form: 0 meV per atom
- E_form: -0.1844 eV/atom

POSCAR file:
```
Er4CuOs
1.0
-0.281 -0.427 -3.377
2.080 -2.704 0.169
-9.832 -7.452 1.760
Er Cu Os
4 1 1
Cartesian
-7.600 -8.007 -0.083
-0.433 -2.575 -1.366
-4.402 -7.830 -2.098
-3.632 -2.753 0.650
0.000 0.000 0.000
-4.017 -5.291 -0.724
```

[4]
A relaxed Er8CuOs2 crystal, computed with PBE.

- Space group: Cm (8)
- Offset from the most stable computed form: 57 meV per atom
- E_form: -0.1482 eV/atom

POSCAR file:
```
Er8CuOs2
1.0
5.589 0.097 -0.912
-1.794 6.809 -2.730
0.002 0.027 7.552
Os Cu Er
2 1 8
Cartesian
1.489 4.769 0.059
2.162 2.225 3.917
0.662 0.019 -0.103
2.648 2.371 -0.895
3.123 0.574 1.829
0.367 2.569 1.631
5.122 1.685 4.307
4.147 5.367 -1.274
3.310 4.385 2.314
0.504 6.413 2.149
0.979 4.619 4.869
```

[5]
A relaxed Er5Cu4Os crystal, computed with PBE.

- Space group: P4/mmm (123)
- E_form: -0.2845 eV/atom

POSCAR file:
```
Er5Cu4Os
1.0
-2.623 -1.215 1.793
2.144 -1.857 1.878
1.576 13.169 11.224
Er Cu Os
5 4 1
Cartesian
-0.089 -0.280 2.906
0.231 2.398 5.189
0.548 5.049 7.448
0.865 7.699 9.707
1.186 10.378 11.990
0.316 2.643 2.253
0.631 5.271 4.493
0.945 7.898 6.732
1.259 10.526 8.971
0.000 0.000 0.000
```

[6]
A relaxed Er2CuOs crystal, computed with PBE.

- Space group: R-3m (166)
- E_form: 0.4347 eV/atom

POSCAR file:
```
Er2CuOs
1.0
3.280 0.000 0.000
1.640 2.840 0.000
1.640 0.947 9.713
Os Cu Er
1 1 2
Cartesian
3.280 1.893 4.856
0.000 0.000 0.000
1.640 0.947 6.928
4.919 2.840 2.784
```

[7]
A relaxed Er7Cu2Os2 crystal, computed with PBE.

- Space group: Cmmm (65)
- E_form: -0.0671 eV/atom

POSCAR file:
```
Er7Cu2Os2
1.0
6.440 -0.002 -0.921
0.003 7.031 0.003
-1.321 -0.002 6.370
Er Cu Os
7 2 2
Cartesian
5.778 1.873 2.267
1.904 5.151 5.909
-0.656 5.153 3.185
3.218 1.875 -0.458
0.000 0.000 0.000
2.564 5.247 2.725
2.559 1.780 2.727
4.255 3.512 4.529
0.867 3.515 0.922
4.123 7.029 1.261
0.999 -0.002 4.190
```

[8]
A relaxed Er8Cu2Os crystal, computed with PBE.

- Space group: Cm (8)
- Offset from the most stable computed form: 122 meV per atom
- E_form: -0.0608 eV/atom

POSCAR file:
```
Er8Cu2Os
1.0
5.734 -0.033 -1.023
-2.023 6.742 -3.098
-0.141 -0.368 7.680
Er Cu Os
8 2 1
Cartesian
2.656 2.224 -0.951
3.122 0.466 1.716
0.233 2.302 1.478
5.137 1.062 4.472
4.024 5.265 -1.899
3.219 4.074 2.125
0.173 5.903 1.913
0.638 4.148 4.575
1.361 4.608 -0.293
2.099 1.822 3.930
0.842 0.011 -0.140
```